Density functional theory data (PBE) for a relaxed Na2MoW crystal.

Summary:
formation energy: 814 kJ/mol of formula units
space group: Fm-3m, No. 225
energy relative to the lowest polymorph listed for this composition: 316 meV per atom

Cell lengths 4.6895, 4.6895, 4.6895 Å; angles 60.00, 60.00, 60.00 degrees
Last column: nearest neighbours and their distance in Å.
Fractional coordinates of all 4 atoms:
Na1 0.2500 0.2500 0.2500  4 Mo 2.87, 4 W 2.87
Na2 0.7500 0.7500 0.7500  4 Mo 2.87, 4 W 2.87
Mo1 0.0000 0.0000 0.0000  8 Na 2.87
W1 0.5000 0.5000 0.5000  8 Na 2.87